A relaxed Pr2DyYTm crystal, computed with PBE.

## Properties
Crystal system = orthorhombic
Energy of formation from the pure elements = 406 meV/atom
Magnetization = 0.00 Bohr magnetons per cell

```
Pr2DyYTm
1.0
7.3075 0.0000 0.0000
0.0000 8.4414 0.0000
0.0000 -4.2207 5.8032
Tm Pr Y Dy
2 4 2 2
Cartesian
1.8269 4.2207 5.5592
5.4806 0.0000 0.2439
3.6538 2.5669 0.0000
0.0000 2.5669 0.0000
3.6538 5.8745 0.0000
0.0000 5.8745 0.0000
5.4806 4.2207 2.8148
1.8269 0.0000 2.9883
1.8269 4.2207 2.4970
5.4806 0.0000 3.3061
```